Record 1
Ga2PAuBr | the Alexandria database | PBEsol | optimized geometry; ΔE_f (raw) = 94 kJ per mole of atoms
1.0
4.739 0.000 0.000
0.000 5.321 0.000
0.000 0.000 5.321
Au Br Ga P
1 1 2 1
Direct
0.500 0.500 0.500
0.000 0.000 0.000
0.000 0.000 0.500
0.000 0.500 0.000
0.500 0.000 0.000

=====

Record 2
CdCuF4 | the Alexandria database | PBEsol | optimized geometry; ΔE_f (raw) = -177 kJ per mole of atoms
1.0
5.336 0.000 0.000
0.000 5.336 0.000
-2.668 -2.668 5.121
F Cd Cu
8 2 2
Direct
0.447 0.309 0.256
0.191 0.053 0.744
0.553 0.691 0.744
0.947 0.447 0.256
0.809 0.947 0.256
0.053 0.553 0.744
0.691 0.191 0.744
0.309 0.809 0.256
0.250 0.250 0.500
0.750 0.750 0.500
0.000 0.500 0.000
0.500 0.000 0.000

=====

Record 3
NaLa2YPb | the Alexandria database | PBEsol | optimized geometry; energy relative to the elements = 0.47 eV per atom
1.0
-2.614 -0.678 -5.159
-4.070 -3.331 2.500
-3.243 4.728 1.021
Pb La Na Y
1 2 1 1
Direct
0.500 0.000 0.000
0.000 0.500 0.000
0.000 0.000 0.500
0.500 0.500 0.500
0.000 0.000 0.000

=====

Record 4
Computed, not measured: an optimized crystal structure of K3LiH at the PBEsol level of DFT.

```
K3LiH
1.0
5.769 0.000 0.000
0.000 5.769 0.000
0.000 0.000 5.769
K Li H
3 1 1
Direct
0.000 0.000 0.500
0.000 0.500 0.000
0.500 0.000 0.000
0.500 0.500 0.500
0.000 0.000 0.000
```

=====

Record 5
ReSbCl2 | the Alexandria database | PBEsol | optimized geometry; ΔE_f (raw) = 22 kJ per mole of atoms
1.0
2.985 0.000 0.000
1.493 2.585 0.000
1.493 0.862 11.149
Cl Sb Re
2 1 1
Direct
0.934 0.934 0.198
0.066 0.066 0.802
0.500 0.500 0.500
0.000 0.000 0.000

=====

Record 6
Te2Os | the Alexandria database | PBEsol | optimized geometry; ΔE_f (raw) = -11 kJ per mole of atoms
1.0
6.389 0.000 0.000
0.000 6.389 0.000
0.000 0.000 6.389
Te Os
8 4
Direct
0.128 0.872 0.372
0.872 0.372 0.128
0.372 0.128 0.872
0.872 0.128 0.628
0.372 0.372 0.372
0.128 0.628 0.872
0.628 0.872 0.128
0.628 0.628 0.628
0.500 0.500 0.000
0.500 0.000 0.500
0.000 0.500 0.500
0.000 0.000 0.000

=====

Record 7
CsBaRuO2 | the Alexandria database | PBEsol | optimized geometry; ΔE_f (raw) = -5 kJ per mole of atoms
1.0
-0.264 3.600 2.597
-0.993 -2.584 3.481
4.768 -0.411 1.054
Ru O Cs Ba
1 2 1 1
Direct
0.000 0.000 0.000
0.000 0.500 0.000
0.500 0.000 0.000
0.000 0.000 0.500
0.500 0.500 0.500

=====

Record 8
BaHg2Ir | the Alexandria database | PBEsol | optimized geometry; energy relative to the elements = 0.06 eV per atom
1.0
4.595 0.000 0.000
0.000 5.024 -0.008
0.000 -1.567 4.773
Ir Ba Hg
1 1 2
Direct
0.500 0.500 0.500
0.500 0.000 0.000
0.000 0.678 0.322
0.000 0.322 0.678

=====

Record 9
Mg2SiMo | the Alexandria database | PBEsol | optimized geometry; ΔE_f (raw) = 0 kJ per mole of atoms
1.0
-0.264 0.743 -3.162
-2.787 -1.681 -0.162
-3.365 5.430 1.557
Si Mg Mo
1 2 1
Direct
0.500 0.500 0.698
0.000 0.000 0.972
0.500 0.500 0.282
0.000 0.000 0.548

=====

Record 10
ScGeN3 | the Alexandria database | PBEsol | optimized geometry; ΔE_f (raw) = 99 kJ per mole of atoms
1.0
4.118 0.000 0.000
0.000 4.118 0.000
0.000 0.000 4.118
N Ge Sc
3 1 1
Direct
0.000 0.500 0.000
0.000 0.000 0.500
0.500 0.000 0.000
0.500 0.500 0.500
0.000 0.000 0.000

=====

Record 11
YFeO3 | the Alexandria database | PBEsol | optimized geometry; ΔE_f (raw) = -230 kJ per mole of atoms
1.0
-1.354 -3.304 -0.194
0.675 1.472 3.189
-10.163 4.151 0.234
O Fe Y
6 2 2
Direct
0.333 0.667 0.083
0.333 0.667 0.417
0.667 0.333 0.583
0.667 0.333 0.917
0.000 0.000 0.250
0.000 0.000 0.750
0.667 0.333 0.750
0.333 0.667 0.250
0.000 0.000 0.000
0.000 0.000 0.500

=====

Record 12
AgHgAs | the Alexandria database | PBEsol | optimized geometry; energy relative to the elements = 0.19 eV per atom
1.0
2.866 0.000 0.000
0.000 4.939 0.000
0.000 -2.469 4.277
Hg As Ag
1 1 1
Direct
0.667 0.333 0.667
0.668 0.667 0.333
0.665 0.000 0.000

=====

| no. | final energy (eV per atom) |
| --- | --- |
| 1 | -2.682 |
| 2 | -4.042 |
| 3 | -4.110 |
| 4 | -1.687 |
| 5 | -5.248 |
| 6 | -6.539 |
| 7 | -4.802 |
| 8 | -3.220 |
| 9 | -5.240 |
| 10 | -6.403 |
| 11 | -8.690 |
| 12 | -2.806 |